DFT (PBE) results for CaMnSe2N after structural relaxation.

Cell: 5.4125 5.4125 4.2724 Å, 90.00 90.00 90.00°
Closest atoms and distances in Å follow each position.
Space group P4/mmm (No. 123)
Symmetry-distinct sites (fractional):
1 Ca 0.0000 0.0000 0.0000 x1  2 N 2.14
2 Mn 0.5000 0.5000 0.5000 x1  8 Se 3.45, 4 N 3.83
3 Se 0.0000 0.5000 0.0000 x2  2 Ca 2.71
4 N 0.0000 0.0000 0.5000 x1  2 Ca 2.14

Results
Formation energy (no corrections), meV/atom: 836
Total magnetic moment, μB per cell: 4.74
Energy above the most stable polymorph in this dataset, kJ/mol of formula units: 695
E, eV/atom: -4.457

---

DFT (PBE) results for Ca2MnSnN after structural relaxation.

Cell: 5.1051 5.1051 3.9470 Å, 90.00 90.00 90.00°
Closest atoms and distances in Å follow each position.
Space group P4/mmm (No. 123)
Symmetry-distinct sites (fractional):
1 Ca 0.0000 0.5000 0.0000 x2  2 N 2.55
2 Mn 0.0000 0.0000 0.5000 x1  2 N 1.97
3 Sn 0.5000 0.5000 0.5000 x1  8 Ca 3.23, 4 Mn 3.61
4 N 0.0000 0.0000 0.0000 x1  2 Mn 1.97

Results
Formation energy (no corrections), meV/atom: -542
Total magnetic moment, μB per cell: 4.00
E, eV/atom: -5.642

---

DFT (PBE) results for SrCa2MnN4 after structural relaxation.

Cell: 7.5476 6.4125 5.5371 Å, 90.00 90.00 90.00°
Closest atoms and distances in Å follow each position.
Space group Pmn2_1 (No. 31)
Symmetry-distinct sites (fractional):
1 Sr 0.0000 0.1295 0.0000 x2  3 N 2.41-2.60
2 Ca 0.2409 0.3328 0.5074 x4  4 N 2.26-2.41
3 Mn 0.0000 0.8123 0.5365 x2  4 N 1.74-1.78
4 N 0.0000 0.0873 0.4890 x2  1 Mn 1.78
5 N 0.0000 0.7778 0.8479 x2  1 Mn 1.74
6 N 0.1945 0.6931 0.4298 x4  1 Mn 1.76

Results
Formation energy (no corrections), meV/atom: -689
Total magnetic moment, μB per cell: 2.00
E, eV/atom: -6.708

---

DFT (PBE) results for CaTa2MnN4 after structural relaxation.

Cell: 3.0911 10.7965 10.8737 Å, 90.00 90.00 90.00°
Closest atoms and distances in Å follow each position.
Space group Cmcm (No. 63)
Symmetry-distinct sites (fractional):
1 Ca 0.0000 0.1076 0.2500 x4  6 N 2.38-2.53
2 Ta 0.0000 0.3685 0.0499 x8  5 N 2.05-2.25
3 Mn 0.0000 0.1590 0.7500 x4  4 N 1.88-1.92
4 N 0.0000 0.0000 0.0000 x4  4 Ta 2.17
5 N 0.0000 0.2700 0.6117 x8  1 Mn 1.92, 1 Ta 2.05
6 N 0.0000 0.4401 0.2500 x4  2 Mn 1.88

Results
Formation energy (no corrections), meV/atom: -972
Total magnetic moment, μB per cell: 4.07
E, eV/atom: -9.494